DFT (meta-GGA SCAN) results for a PBEsol-optimized structure of MnPtPb2Au.

Computed properties:
The total energy comes out at -61.157 eV per atom. Its energy of formation is 0.68 eV/atom.

a = 4.8586 Å, b = 5.2603 Å, c = 5.2603 Å
α = 90.00°, β = 90.00°, γ = 90.00°
Last column: nearest neighbours and their distance in Å.
Fractional positions:
Pb 0.0000 0.0000 0.5000  2 Au 2.63
Pb 0.0000 0.5000 0.0000  2 Au 2.63
Mn 0.5000 0.0000 0.0000  2 Au 2.43
Au 0.0000 0.0000 0.0000  2 Mn 2.43, 4 Pb 2.63
Pt 0.5000 0.5000 0.5000  8 Pb 3.58, 4 Mn 3.72